Run i
Compound: Dy6Ho
Source: the Alexandria database
Functional: PBE-GGA
Structure: optimized geometry

a b c (Å): 6.920 6.920 6.920
angles (deg): 109.47 109.47 109.47
Atoms (fractional coordinates):
Dy 0.250 0.750 0.500
Dy 0.500 0.750 0.250
Dy 0.250 0.500 0.750
Dy 0.750 0.250 0.500
Dy 0.500 0.250 0.750
Dy 0.750 0.500 0.250
Ho 0.000 0.000 0.000

## Properties
Total magnetic moment = 0.00 μB/f.u.

Run ii
Compound: Dy6Ho
Source: the Alexandria database
Functional: PBE-GGA
Structure: optimized geometry

a b c (Å): 6.452 6.452 10.951
angles (deg): 90.00 90.00 90.00
Atoms (fractional coordinates):
Dy 0.500 0.500 0.139
Dy 0.000 0.000 0.139
Dy 0.000 0.000 0.861
Dy 0.500 0.500 0.861
Dy 0.832 0.668 0.362
Dy 0.332 0.832 0.362
Dy 0.668 0.168 0.362
Dy 0.168 0.332 0.362
Dy 0.668 0.832 0.638
Dy 0.168 0.668 0.638
Dy 0.832 0.332 0.638
Dy 0.332 0.168 0.638
Ho 0.500 0.000 0.000
Ho 0.000 0.500 0.000

## Properties
Total magnetic moment = 0.00 μB/f.u.

Stability, lowest: run i

Run i
Compound: Dy5Ho4
Source: the Alexandria database
Functional: PBE-GGA
Structure: optimized geometry

a b c (Å): 4.979 7.892 7.892
angles (deg): 84.22 71.55 71.55
Atoms (fractional coordinates):
Dy 0.000 0.000 0.000
Dy 0.000 0.333 0.667
Dy 0.000 0.667 0.333
Dy 0.333 0.334 0.000
Dy 0.667 0.000 0.666
Ho 0.333 0.667 0.667
Ho 0.333 0.000 0.333
Ho 0.667 0.667 0.000
Ho 0.667 0.333 0.333

## Properties
Total magnetic moment = 0.00 μB/f.u.

Run ii
Compound: Dy5Ho4
Source: the Alexandria database
Functional: PBE-GGA
Structure: optimized geometry

a b c (Å): 3.588 9.019 9.019
angles (deg): 91.72 78.52 78.52
Atoms (fractional coordinates):
Dy 0.000 0.041 0.959
Dy 0.000 0.293 0.707
Dy 0.000 0.667 0.333
Dy 0.292 0.374 0.041
Dy 0.708 0.959 0.626
Ho 0.356 0.620 0.667
Ho 0.356 0.001 0.287
Ho 0.644 0.713 0.999
Ho 0.644 0.333 0.380

## Properties
Total magnetic moment = 0.00 μB/f.u.

Stability, lowest: run ii

Run i
Compound: Dy5Ho7
Source: the Alexandria database
Functional: PBE-GGA
Structure: optimized geometry

a b c (Å): 3.536 9.357 11.960
angles (deg): 73.80 81.50 79.11
Atoms (fractional coordinates):
Dy 0.833 0.833 0.500
Dy 0.167 0.167 0.500
Dy 0.695 0.361 0.250
Dy 0.305 0.639 0.750
Dy 0.000 0.000 0.000
Ho 0.639 0.972 0.750
Ho 0.361 0.028 0.250
Ho 0.028 0.694 0.250
Ho 0.972 0.306 0.750
Ho 0.333 0.334 0.000
Ho 0.500 0.500 0.500
Ho 0.667 0.666 0.000

## Properties
Total magnetic moment = 0.00 μB/f.u.

Run ii
Compound: Dy5Ho7
Source: the Alexandria database
Functional: PBE-GGA
Structure: optimized geometry

a b c (Å): 5.621 5.539 14.555
angles (deg): 101.20 90.00 120.49
Atoms (fractional coordinates):
Dy 0.144 0.288 0.439
Dy 0.856 0.712 0.561
Dy 0.385 0.770 0.196
Dy 0.615 0.230 0.804
Dy 0.000 0.000 0.000
Ho 0.234 0.468 0.673
Ho 0.766 0.532 0.327
Ho 0.054 0.109 0.213
Ho 0.946 0.891 0.787
Ho 0.687 0.375 0.079
Ho 0.500 0.000 0.500
Ho 0.313 0.625 0.921

## Properties
Total magnetic moment = 0.00 μB/f.u.

Stability, lowest: run ii

Run i
Compound: Dy7Ho5
Source: the Alexandria database
Functional: PBE-GGA
Structure: optimized geometry

a b c (Å): 3.539 9.366 11.970
angles (deg): 73.79 81.50 79.11
Atoms (fractional coordinates):
Dy 0.639 0.972 0.750
Dy 0.361 0.028 0.250
Dy 0.028 0.694 0.250
Dy 0.972 0.306 0.750
Dy 0.333 0.333 0.000
Dy 0.500 0.500 0.500
Dy 0.667 0.667 0.000
Ho 0.833 0.833 0.500
Ho 0.167 0.167 0.500
Ho 0.695 0.361 0.250
Ho 0.305 0.639 0.750
Ho 0.000 0.000 0.000

## Properties
Total magnetic moment = 0.00 μB/f.u.

Run ii
Compound: Dy7Ho5
Source: the Alexandria database
Functional: PBE-GGA
Structure: optimized geometry

a b c (Å): 5.622 5.542 14.584
angles (deg): 101.19 90.00 120.48
Atoms (fractional coordinates):
Dy 0.234 0.467 0.673
Dy 0.766 0.533 0.327
Dy 0.055 0.109 0.213
Dy 0.945 0.891 0.787
Dy 0.688 0.375 0.080
Dy 0.500 0.000 0.500
Dy 0.312 0.625 0.920
Ho 0.145 0.289 0.440
Ho 0.855 0.711 0.560
Ho 0.385 0.770 0.195
Ho 0.615 0.230 0.805
Ho 0.000 0.000 0.000

## Properties
Total magnetic moment = 0.00 μB/f.u.

Stability, lowest: run ii